[1]
{"formula": "BaZr2Tl", "functional": "PBE", "state": "relaxed", "cell": [[3.406, 0.000, 0.000], [0.000, 3.406, 0.000], [0.000, 0.000, 10.080]], "species": ["Ba", "Zr", "Zr", "Tl"], "frac_coords": [[0.000, 0.000, 0.000], [0.000, 0.000, 0.485], [0.500, 0.500, 0.684], [0.500, 0.500, 0.269]], "m_tot_mub_per_cell": 0.00, "delta_e_f_ev_per_atom": 0.11, "rho_g_cm3": 7.443}

***

[2]
{"formula": "BaZrTl2", "functional": "PBE", "state": "relaxed", "cell": [[-2.583, 2.583, 4.513], [2.583, -2.583, 4.513], [2.583, 2.583, -4.513]], "species": ["Ba", "Zr", "Tl", "Tl"], "frac_coords": [[0.000, 0.000, 0.000], [0.500, 0.500, 0.000], [0.250, 0.750, 0.500], [0.750, 0.250, 0.500]], "m_tot_mub_per_cell": 0.89, "delta_e_f_ev_per_atom": 0.11, "rho_g_cm3": 8.788}

***

[3]
{"formula": "BaZr2Tl", "functional": "PBE", "state": "relaxed", "cell": [[4.836, 0.000, 0.000], [0.000, 4.836, 0.000], [0.000, 0.000, 4.665]], "species": ["Ba", "Zr", "Zr", "Tl"], "frac_coords": [[0.000, 0.000, 0.000], [0.000, 0.500, 0.500], [0.500, 0.000, 0.500], [0.500, 0.500, 0.000]], "m_tot_mub_per_cell": 0.00, "delta_e_f_ev_per_atom": 0.42, "rho_g_cm3": 7.978}